Record 1
Here is an optimized crystal structure of Mn2CdOs from Alexandria via LeMat-Bulk. Energies are from PBE.

## Properties
D(E_F) ... 4.81 states/eV/f.u.
Uncorrected energy ... -7.292 eV/atom
Formation energy from the elements ... 329 meV/atom

Cell lengths 2.7669, 2.7669, 26.8221 Å; angles 90.00, 90.00, 120.00 degrees
Space group R3m (No. 160, hexagonal axes)
Unique sites:
Mn (0.0000, 0.0000, 0.0000) x3
Mn (0.0000, 0.0000, 0.2608) x3
Cd (0.0000, 0.0000, 0.7579) x3
Os (0.0000, 0.0000, 0.5196) x3

---

Record 2
Here is an optimized crystal structure of Mn2CdOs from Alexandria via LeMat-Bulk. Energies are from PBE.

## Properties
D(E_F) ... 4.51 states/eV/f.u.
Uncorrected energy ... -7.388 eV/atom
Formation energy from the elements ... 233 meV/atom

Cell lengths 2.8344, 2.8344, 7.5471 Å; angles 90.00, 90.00, 90.00 degrees
Space group P4/mmm (No. 123)
Unique sites:
Mn (0.0000, 0.0000, 0.2190) x2
Cd (0.5000, 0.5000, 0.5000) x1
Os (0.5000, 0.5000, 0.0000) x1

---

Record 3
Here is an optimized crystal structure of MnCd2Os from Alexandria via LeMat-Bulk. Energies are from PBE.

## Properties
Relative energy among the computed polymorphs ... 208.9 meV/atom
D(E_F) ... 2.19 states/eV/f.u.
Uncorrected energy ... -5.130 eV/atom
Formation energy from the elements ... 427 meV/atom

Cell lengths 10.7417, 2.9091, 4.9984 Å; angles 90.00, 117.05, 90.00 degrees
Space group Cm (No. 8)
Unique sites:
Mn (0.0000, 0.0000, 0.0000) x2
Cd (0.2363, 0.0000, 0.8407) x2
Cd (0.4599, 0.0000, 0.4666) x2
Os (0.1991, 0.5000, 0.3142) x2